one.
# Sb2PF

A relaxed Sb2PF crystal (PBE, Alexandria via LeMat-Bulk).

Unit cell a=7.189 b=7.189 c=6.040 alpha=53.48 beta=53.48 gamma=90.00
Positions (direct):
Sb: 0.875 0.879 0.750
Sb: 0.375 0.371 0.750
F: 0.250 0.750 0.500
Sb: 0.121 0.625 0.250
Sb: 0.629 0.125 0.250
F: 0.500 0.500 0.000
P: 0.000 0.000 0.000
P: 0.750 0.250 0.500

---

two.
# Sb2PF

A relaxed Sb2PF crystal (PBE, Alexandria via LeMat-Bulk).

Unit cell a=4.757 b=4.757 c=4.757 alpha=60.00 beta=60.00 gamma=60.00
Positions (direct):
P: 0.500 0.500 0.500
Sb: 0.250 0.250 0.250
Sb: 0.750 0.750 0.750
F: 0.000 0.000 0.000

---

Stability ranking, top and bottom: one is the most stable and two is the least stable.

---

one.
# ScPF3

A relaxed ScPF3 crystal (PBE, Alexandria via LeMat-Bulk).

Unit cell a=4.313 b=4.313 c=4.313 alpha=90.00 beta=90.00 gamma=90.00
Site moments in Bohr magnetons follow the coordinates.
Positions (direct):
F: 0.000 0.500 0.000  -0.02
F: 0.500 0.000 0.000  -0.01
F: 0.000 0.000 0.500  -0.02
Sc: 0.500 0.500 0.500  -0.98
P: 0.000 0.000 0.000  0.04

---

two.
# ScPF3

A relaxed ScPF3 crystal (PBE, Alexandria via LeMat-Bulk).

Unit cell a=4.227 b=4.227 c=4.227 alpha=90.00 beta=90.00 gamma=90.00
Site moments in Bohr magnetons follow the coordinates.
Positions (direct):
F: 0.500 0.000 0.000  0.08
F: 0.000 0.000 0.500  0.10
P: 0.500 0.500 0.500  1.21
F: 0.000 0.500 0.000  0.06
Sc: 0.000 0.000 0.000  0.01

---

Stability ranking, top and bottom: two is the most stable and one is the least stable.

---

one.
# Sc2PF

A relaxed Sc2PF crystal (PBE, Alexandria via LeMat-Bulk).

Unit cell a=4.475 b=4.475 c=4.475 alpha=60.00 beta=60.00 gamma=60.00
Site moments in Bohr magnetons follow the coordinates.
Positions (direct):
P: 0.500 0.500 0.500  -0.04
F: 0.000 0.000 0.000  0.01
Sc: 0.250 0.250 0.250  0.61
Sc: 0.750 0.750 0.750  0.61

---

two.
# Sc2PF

A relaxed Sc2PF crystal (PBE, Alexandria via LeMat-Bulk).

Unit cell a=6.840 b=6.840 c=6.840 alpha=33.79 beta=33.79 gamma=33.79
Positions (direct):
Sc: 0.894 0.894 0.894
F: 0.000 0.000 0.000
Sc: 0.106 0.106 0.106
P: 0.500 0.500 0.500

---

three.
# Sc2PF

A relaxed Sc2PF crystal (PBE, Alexandria via LeMat-Bulk).

Unit cell a=8.723 b=8.723 c=8.723 alpha=20.41 beta=20.41 gamma=20.41
Positions (direct):
F: 0.500 0.500 0.500
Sc: 0.099 0.099 0.099
Sc: 0.901 0.901 0.901
P: 0.000 0.000 0.000

---

four.
# Sc2PF

A relaxed Sc2PF crystal (PBE, Alexandria via LeMat-Bulk).

Unit cell a=5.332 b=5.332 c=6.761 alpha=66.78 beta=66.78 gamma=90.00
Positions (direct):
Sc: 0.875 0.835 0.750
P: 0.750 0.250 0.500
Sc: 0.375 0.415 0.750
F: 0.500 0.500 0.000
P: 0.000 0.000 0.000
F: 0.250 0.750 0.500
Sc: 0.165 0.625 0.250
Sc: 0.585 0.125 0.250

---

Stability ranking, top and bottom: two is the most stable and three is the least stable.

---

one.
# ScP2F

A relaxed ScP2F crystal (PBE, Alexandria via LeMat-Bulk).

Unit cell a=4.447 b=4.447 c=4.447 alpha=60.00 beta=60.00 gamma=60.00
Positions (direct):
P: 0.750 0.750 0.750
P: 0.250 0.250 0.250
F: 0.000 0.000 0.000
Sc: 0.500 0.500 0.500

---

two.
# ScP2F

A relaxed ScP2F crystal (PBE, Alexandria via LeMat-Bulk).

Unit cell a=3.434 b=3.434 c=10.459 alpha=80.55 beta=80.55 gamma=90.00
Positions (direct):
F: 0.250 0.750 0.500
P: 0.659 0.125 0.250
P: 0.091 0.625 0.250
F: 0.500 0.500 0.000
P: 0.375 0.341 0.750
Sc: 0.750 0.250 0.500
P: 0.875 0.909 0.750
Sc: 0.000 0.000 0.000

---

Stability ranking, top and bottom: two is the most stable and one is the least stable.

---

one.
# Sc2P2F

A relaxed Sc2P2F crystal (PBE, Alexandria via LeMat-Bulk).

Unit cell a=3.445 b=3.445 c=7.619 alpha=76.94 beta=76.94 gamma=90.00
Positions (direct):
P: 0.750 0.250 0.500
F: 0.000 0.000 0.000
P: 0.250 0.750 0.500
Sc: 0.386 0.386 0.229
Sc: 0.614 0.614 0.771

---

two.
# Sc2P2F

A relaxed Sc2P2F crystal (PBE, Alexandria via LeMat-Bulk).

Unit cell a=6.501 b=6.501 c=3.786 alpha=90.00 beta=90.00 gamma=90.00
Positions (direct):
P: 0.881 0.381 0.500
P: 0.619 0.881 0.500
Sc: 0.317 0.817 0.000
F: 0.500 0.500 0.000
P: 0.381 0.119 0.500
F: 0.000 0.000 0.000
Sc: 0.183 0.317 0.000
Sc: 0.817 0.683 0.000
P: 0.119 0.619 0.500
Sc: 0.683 0.183 0.000

---

Stability ranking, top and bottom: two is the most stable and one is the least stable.

---

one.
# P2Se2F

A relaxed P2Se2F crystal (PBE, Alexandria via LeMat-Bulk).

Unit cell a=4.973 b=4.973 c=4.985 alpha=60.08 beta=60.08 gamma=90.00
Positions (direct):
P: 0.334 0.334 0.332
P: 0.666 0.666 0.668
Se: 0.250 0.750 0.500
F: 0.000 0.000 0.000
Se: 0.750 0.250 0.500

---

two.
# P2Se2F

A relaxed P2Se2F crystal (PBE, Alexandria via LeMat-Bulk).

Unit cell a=7.492 b=7.492 c=3.434 alpha=90.00 beta=90.00 gamma=90.00
Positions (direct):
P: 0.201 0.299 0.000
F: 0.000 0.000 0.000
F: 0.500 0.500 0.000
Se: 0.157 0.657 0.500
P: 0.701 0.201 0.000
P: 0.799 0.701 0.000
Se: 0.657 0.843 0.500
Se: 0.843 0.343 0.500
P: 0.299 0.799 0.000
Se: 0.343 0.157 0.500

---

Stability ranking, top and bottom: one is the most stable and two is the least stable.